Arrangement P

Compound: TiMnMo2
Source: Alexandria
Functional: PBE
Structure: optimized geometry

Cell lengths 3.0691, 4.3423, 4.3423 Å; angles 90.00, 90.00, 90.00 degrees
Fractional positions:
Mo (0.0000, 0.0000, 0.5000)
Mo (0.0000, 0.5000, 0.0000)
Mn (0.5000, 0.5000, 0.5000)
Ti (0.5000, 0.0000, 0.0000)

Results
N(E_F) (states/eV per atom): 0.5822

Arrangement Q

Compound: TiMnMo2
Source: Alexandria
Functional: PBE
Structure: optimized geometry

Cell lengths 6.9779, 6.9779, 5.5684 Å; angles 51.20, 51.20, 90.00 degrees
Fractional positions:
Mo (0.6600, 0.1250, 0.2500)
Mo (0.0900, 0.6250, 0.2500)
Mo (0.3750, 0.3400, 0.7500)
Mo (0.8750, 0.9100, 0.7500)
Mn (0.0000, 0.0000, 0.0000)
Mn (0.7500, 0.2500, 0.5000)
Ti (0.5000, 0.5000, 0.0000)
Ti (0.2500, 0.7500, 0.5000)

Results
N(E_F) (states/eV per atom): 1.2330

Quick one: most stable of them? arrangement P